Crystalline Y3ErAl8 at its relaxed geometry. Source: the Alexandria database, functional GGA-PBE.

Summary:
DFT formation energy = -0.5263 eV per atom
Distance to the lowest polymorph of the same formula = 0.0 kJ per mole of atoms

Cell: 9.657 9.657 9.657 Å, 33.41 33.41 33.41°
Element x y z (fractional)
1 Y 0.000 0.000 0.000
2 Y 0.125 0.125 0.125
3 Y 0.624 0.624 0.624
4 Er 0.500 0.500 0.500
5 Al 0.062 0.062 0.562
6 Al 0.062 0.562 0.062
7 Al 0.063 0.562 0.562
8 Al 0.312 0.312 0.312
9 Al 0.562 0.062 0.062
10 Al 0.562 0.063 0.562
11 Al 0.562 0.562 0.063
12 Al 0.812 0.812 0.812